(1)
Cs2Cd3As3: optimized geometry, PBE-GGA. Values from VASP.

Structure (Quantum ESPRESSO input):
```
&SYSTEM
  ibrav = 0, nat = 16, ntyp = 3
/
ATOMIC_SPECIES
Cs 132.91 Cs.upf
Cd 112.41 Cd.upf
As 74.92 As.upf
CELL_PARAMETERS angstrom
7.830 0.000 0.000
-3.915 6.781 0.000
0.000 0.000 12.194
ATOMIC_POSITIONS angstrom
Cs 0.000 4.520 0.000
Cs 0.000 4.520 6.097
Cs 3.915 2.260 0.000
Cs 3.915 2.260 6.097
Cd -1.223 2.118 3.048
Cd -2.692 4.663 9.145
Cd 2.445 0.000 3.048
Cd 1.223 2.118 9.145
Cd 5.384 0.000 9.145
Cd 2.692 4.663 3.048
As -1.364 2.363 9.145
As -2.551 4.418 3.048
As 2.728 0.000 9.145
As 1.364 2.363 3.048
As 5.102 0.000 3.048
As 2.551 4.418 9.145
```

density: 4.247 g/cm³
DOS(E_F): 13.22 states/eV per cell
E_form: -224.1 meV per atom

(2)
Cs2Cd2As: optimized geometry, PBE-GGA. Values from VASP.

Structure (Quantum ESPRESSO input):
```
&SYSTEM
  ibrav = 0, nat = 5, ntyp = 3
/
ATOMIC_SPECIES
Cs 132.91 Cs.upf
Cd 112.41 Cd.upf
As 74.92 As.upf
CELL_PARAMETERS angstrom
-3.735 3.735 4.158
3.735 -3.735 4.158
3.735 3.735 -4.158
ATOMIC_POSITIONS angstrom
Cs 3.735 0.000 2.079
Cs 0.000 3.735 2.079
Cd 0.000 0.000 1.484
Cd 0.000 0.000 6.833
As 0.000 0.000 4.158
```

density: 4.048 g/cm³
DOS(E_F): 1.13 states/eV per cell
E_form: -73.2 meV per atom

(3)
Cs2Cd5As4: optimized geometry, PBE-GGA. Values from VASP.

Structure (Quantum ESPRESSO input):
```
&SYSTEM
  ibrav = 0, nat = 11, ntyp = 3
/
ATOMIC_SPECIES
Cs 132.91 Cs.upf
Cd 112.41 Cd.upf
As 74.92 As.upf
CELL_PARAMETERS angstrom
0.000 6.891 7.326
3.353 0.000 7.326
3.353 6.891 0.000
ATOMIC_POSITIONS angstrom
Cs 3.353 6.891 2.332
Cs 3.353 6.891 12.320
Cd 1.676 3.445 0.000
Cd 1.676 3.445 3.663
Cd 1.676 3.445 7.326
Cd 3.353 6.891 7.326
Cd 5.029 10.336 10.989
As 3.353 4.789 5.456
As 3.353 4.789 9.196
As 3.353 8.992 5.456
As 3.353 8.992 9.196
```

density: 5.531 g/cm³
DOS(E_F): 5.29 states/eV per cell
E_form: -166.9 meV per atom

(4)
Cs2Cd2As: optimized geometry, PBE-GGA. Values from VASP.

Structure (Quantum ESPRESSO input):
```
&SYSTEM
  ibrav = 0, nat = 5, ntyp = 3
/
ATOMIC_SPECIES
Cs 132.91 Cs.upf
Cd 112.41 Cd.upf
As 74.92 As.upf
CELL_PARAMETERS angstrom
-2.076 2.076 12.075
2.076 -2.076 12.075
2.076 2.076 -12.075
ATOMIC_POSITIONS angstrom
Cs 0.000 0.000 2.237
Cs 0.000 0.000 21.913
Cd 2.076 0.000 6.038
Cd 0.000 2.076 6.038
As 0.000 0.000 12.075
```

density: 4.511 g/cm³
DOS(E_F): 3.25 states/eV per cell
E_form: -4.3 meV per atom